Computed, not measured: a PBEsol-optimized structure of TcMo2As at the meta-GGA SCAN level of DFT.

Calculated values
Its formation energy is 0.004 eV/atom.

Lattice parameters (Å, degrees): 3.1261 4.2127 5.1283 114.25 107.75 90.00
Closest atoms and distances in Å follow each position.
Atoms (fractional coordinates):
As 0.2467 0.7467 0.4934  2 Tc 2.60, 6 Mo 2.62-2.66
Mo 0.9910 0.9910 0.9820  4 Tc 2.63, 2 As 2.66, 2 Mo 2.78
Mo 0.7514 0.2514 0.5028  4 As 2.62, 2 Tc 2.77, 2 Mo 2.78
Tc 0.5109 0.5109 0.0217  2 As 2.60, 6 Mo 2.63-2.77